CaTa2Pb | PBE-GGA | relaxed

Cell: 4.050 4.363 4.992 Å, 90.00 90.00 90.00°
Space group Pmmm (No. 47)
Asymmetric unit:
1 Ca 0.000 0.000 0.000
2 Ta 0.000 0.500 0.500
3 Ta 0.500 0.000 0.500
4 Pb 0.500 0.500 0.000

Values from the calculation:
- energy of formation (eV per atom) = 0.545
- density (g cm⁻³) = 11.47